No. 1
{"formula": "CuGeWAu", "functional": "PBE-GGA", "state": "relaxed", "sg": "F-43m", "m_tot_mub_per_atom": 0.2555, "final_energy_ev_per_cell": -22.68, "lattice": [[4.212, 0.638, 1.338], [0.882, 0.755, 4.311], [2.065, -3.120, 2.436]], "species": ["Au", "Cu", "Ge", "W"], "frac_coords": [[0.500, 0.500, 0.500], [0.750, 0.750, 0.750], [0.000, 0.000, 0.000], [0.250, 0.250, 0.250]]}

---

No. 2
{"formula": "CuGeWAu", "functional": "PBE-GGA", "state": "relaxed", "sg": "F-43m", "m_tot_mub_per_atom": 0.5015, "final_energy_ev_per_cell": -21.42, "lattice": [[0.000, 3.202, 3.202], [3.202, 0.000, 3.202], [3.202, 3.202, 0.000]], "species": ["Au", "Cu", "Ge", "W"], "frac_coords": [[0.250, 0.250, 0.250], [0.750, 0.750, 0.750], [0.000, 0.000, 0.000], [0.500, 0.500, 0.500]]}

---

No. 3
{"formula": "YCuGeAu", "functional": "PBE-GGA", "state": "relaxed", "sg": "F-43m", "m_tot_mub_per_atom": 0.0000, "final_energy_ev_per_cell": -19.67, "lattice": [[0.000, 3.355, 3.355], [3.355, 0.000, 3.355], [3.355, 3.355, 0.000]], "species": ["Au", "Cu", "Ge", "Y"], "frac_coords": [[0.500, 0.500, 0.500], [0.750, 0.750, 0.750], [0.000, 0.000, 0.000], [0.250, 0.250, 0.250]]}

---

no.,relative energy among the computed polymorphs (meV per atom)
1,0
2,315
3,0